Material: AgAsHOs2
Method: DFT, PBE
State: optimized geometry

The total energy comes out at -5.81 eV/atom. Its size of the total moment is 0.00 μB per formula unit.

The space group is P4/mmm (No. 123) and the conventional cell measures 4.087, 4.087 and 3.861 Å, with angles of 90.00, 90.00 and 90.00 degrees. The inequivalent atoms are Ag at (0.000, 0.000, 0.000), As at (0.500, 0.500, 0.000), H at (0.000, 0.000, 0.500) and Os at (0.000, 0.500, 0.500).